Cu3Pd: relaxed, GGA-PBE.

```
Cu3Pd
1.0
4.3021 0.0000 0.0000
0.0000 5.2273 -0.5484
0.0000 -2.1398 4.8007
Cu Pd
6 2
Direct
0.2500 0.6637 0.8272 Cu
0.7500 0.8272 0.6637 Cu
0.7500 0.3363 0.1728 Cu
0.2500 0.1728 0.3363 Cu
0.2500 0.6637 0.3363 Cu
0.7500 0.3363 0.6637 Cu
0.7500 0.8333 0.1667 Pd
0.2500 0.1667 0.8333 Pd
```

D(E_F) = 1.84 states/eV/cell
E_form = -99 meV per atom